Entry A
Below is Sm3AgOs after structural relaxation, with properties calculated at the PBE level.

## Properties
**ρ**: 8.82 g/cm³
**Total magnetization**: 0.00 μB/cell
**SG**: Cmce (64)
**Calculated volume**: 28.2 Å³/atom

a = 8.7705 Å, b = 8.7705 Å, c = 7.4768 Å
α = 90.00°, β = 90.00°, γ = 78.71°
Element x y z (fractional)
Sm  0.0396  0.6788  0.4031
Sm  0.0631  0.9369  0.7884
Sm  0.1788  0.5396  0.9031
Sm  0.3212  0.9604  0.4031
Sm  0.4369  0.5631  0.2884
Sm  0.4604  0.8212  0.9031
Sm  0.5396  0.1788  0.0969
Sm  0.5631  0.4369  0.7116
Sm  0.6788  0.0396  0.5969
Sm  0.8212  0.4604  0.0969
Sm  0.9369  0.0631  0.2116
Sm  0.9604  0.3212  0.5969
Ag  0.1767  0.3233  0.2500
Ag  0.3233  0.1767  0.7500
Ag  0.6767  0.8233  0.2500
Ag  0.8233  0.6767  0.7500
Os  0.1980  0.8020  0.1209
Os  0.3020  0.6980  0.6209
Os  0.6980  0.3020  0.3791
Os  0.8020  0.1980  0.8791

***

Entry B
Below is Sm3AgOs after structural relaxation, with properties calculated at the PBE level.

## Properties
**ρ**: 9.54 g/cm³
**Total magnetization**: 0.00 μB/cell
**SG**: C2/m (12)
**Calculated volume**: 26.1 Å³/atom

a = 6.0191 Å, b = 6.0191 Å, c = 9.3476 Å
α = 116.84°, β = 116.84°, γ = 65.96°
Element x y z (fractional)
Sm  0.0784  0.0784  0.2834
Sm  0.2959  0.2959  0.7165
Sm  0.3053  0.3053  0.1110
Sm  0.6947  0.6947  0.8890
Sm  0.7041  0.7041  0.2835
Sm  0.9216  0.9216  0.7166
Ag  0.2935  0.7065  0.5000
Ag  0.7065  0.2935  0.5000
Os  0.2500  0.7500  0.0000
Os  0.7500  0.2500  0.0000

***

Which of them is the most stable, and which is the least stable? entry B and entry A, in that order.

***

Entry A
Below is SrAgOs3 after structural relaxation, with properties calculated at the PBE level.

## Properties
**ρ**: 10.84 g/cm³
**Total magnetization**: 4.81 μB/cell
**SG**: Pm-3m (221)
**Calculated volume**: 23.5 Å³/atom

a = 4.8963 Å, b = 4.8963 Å, c = 4.8963 Å
α = 90.00°, β = 90.00°, γ = 90.00°
Element x y z (fractional)
Sr  0.0000  0.0000  0.0000
Ag  0.5000  0.5000  0.5000
Os  0.0000  0.0000  0.5000
Os  0.0000  0.5000  0.0000
Os  0.5000  0.0000  0.0000

***

Entry B
Below is SrAgOs3 after structural relaxation, with properties calculated at the PBE level.

## Properties
**ρ**: 10.65 g/cm³
**Total magnetization**: 5.30 μB/cell
**SG**: Pm-3m (221)
**Calculated volume**: 23.9 Å³/atom

a = 4.9246 Å, b = 4.9246 Å, c = 4.9246 Å
α = 90.00°, β = 90.00°, γ = 90.00°
Element x y z (fractional)
Sr  0.0000  0.0000  0.0000
Ag  0.5000  0.5000  0.5000
Os  0.0000  0.5000  0.5000
Os  0.5000  0.0000  0.5000
Os  0.5000  0.5000  0.0000

***

Which of them is the most stable, and which is the least stable? entry B and entry A, in that order.